No. 1
# Y6Ho12Tm PBE-GGA optimized geometry
# Energy of formation from the pure elements in eV/atom: 0.22
# Energy in eV/cell: -282.15
# Density in g/cm³: 7.1
data_Y6Ho12Tm
_cell_length_a 13.0921
_cell_length_b 13.0921
_cell_length_c 12.5976
_cell_angle_alpha 90.00
_cell_angle_beta 90.00
_cell_angle_gamma 120.00
_space_group_name_H-M_alt 'R -3 m'
_space_group_IT_number 166
_space_group_name_Hall '-R 3 2"'
loop_
_atom_site_label
_atom_site_type_symbol
_atom_site_fract_x
_atom_site_fract_y
_atom_site_fract_z
Y1 Y 0.0393 0.5197 0.1195
Ho1 Ho 0.0000 0.2569 0.0000
Ho2 Ho 0.0910 0.1820 0.7640
Tm1 Tm 0.0000 0.0000 0.5000


No. 2
# CaInS3 PBE-GGA optimized geometry
# E_form (uncorrected) in kJ per mole of atoms: -51.6
# Energy in eV/cell: -19.79
# Density in g/cm³: 3.3
data_CaInS3
_cell_length_a 5.011
_cell_length_b 5.011
_cell_length_c 5.011
_cell_angle_alpha 90.00
_cell_angle_beta 90.00
_cell_angle_gamma 90.00
_space_group_name_H-M_alt 'P m -3 m'
_space_group_IT_number 221
_space_group_name_Hall '-P 4 2 3'
loop_
_atom_site_label
_atom_site_type_symbol
_atom_site_fract_x
_atom_site_fract_y
_atom_site_fract_z
Ca1 Ca 0.000 0.000 0.000
In1 In 0.500 0.500 0.500
S1 S 0.000 0.500 0.500


No. 3
# La2Pr2HoCd5 PBE-GGA optimized geometry
# Energy of formation from the pure elements in eV/atom: -0.19
# Energy in eV/cell: -60.93
# Density in g/cm³: 7.4
data_La2Pr2HoCd5
_cell_length_a 10.875
_cell_length_b 10.875
_cell_length_c 4.885
_cell_angle_alpha 90.00
_cell_angle_beta 90.00
_cell_angle_gamma 90.00
_space_group_name_H-M_alt 'P 4/m b m'
_space_group_IT_number 127
_space_group_name_Hall '-P 4 2ab'
loop_
_atom_site_label
_atom_site_type_symbol
_atom_site_fract_x
_atom_site_fract_y
_atom_site_fract_z
La1 La 0.175 0.325 0.000
Pr1 Pr 0.127 0.627 0.000
Ho1 Ho 0.000 0.000 0.000
Cd1 Cd 0.000 0.500 0.500
Cd2 Cd 0.066 0.812 0.500


No. 4
# EuPu2Sn PBE-GGA optimized geometry
# Energy of formation from the pure elements in eV/atom: -0.22
# Energy in eV/cell: -43.81
# Density in g/cm³: 11.3
data_EuPu2Sn
_cell_length_a 4.709
_cell_length_b 4.709
_cell_length_c 5.022
_cell_angle_alpha 90.00
_cell_angle_beta 90.00
_cell_angle_gamma 90.00
_space_group_name_H-M_alt 'P 4/m m m'
_space_group_IT_number 123
_space_group_name_Hall '-P 4 2'
loop_
_atom_site_label
_atom_site_type_symbol
_atom_site_fract_x
_atom_site_fract_y
_atom_site_fract_z
Eu1 Eu 0.000 0.000 0.000
Pu1 Pu 0.000 0.500 0.500
Sn1 Sn 0.500 0.500 0.000


No. 5
# La2CdGa3Ir4 PBE-GGA optimized geometry
# Energy of formation from the pure elements in eV/atom: -0.61
# Energy in eV/cell: -61.39
# Density in g/cm³: 11.4
data_La2CdGa3Ir4
_cell_length_a 4.290
_cell_length_b 4.290
_cell_length_c 10.815
_cell_angle_alpha 90.00
_cell_angle_beta 90.00
_cell_angle_gamma 90.00
_space_group_name_H-M_alt 'P -4 m 2'
_space_group_IT_number 115
_space_group_name_Hall 'P -4 -2'
loop_
_atom_site_label
_atom_site_type_symbol
_atom_site_fract_x
_atom_site_fract_y
_atom_site_fract_z
La1 La 0.000 0.500 0.237
Cd1 Cd 0.000 0.000 0.500
Ga1 Ga 0.000 0.500 0.880
Ga2 Ga 0.500 0.500 0.500
Ir1 Ir 0.000 0.000 0.000
Ir2 Ir 0.000 0.500 0.650
Ir3 Ir 0.500 0.500 0.000


No. 6
# Y2FeTc3 PBE-GGA optimized geometry
# Energy of formation from the pure elements in eV/atom: -0.14
# Energy in eV/cell: -160.02
# Density in g/cm³: 8.0
data_Y2FeTc3
_cell_length_a 5.2889
_cell_length_b 5.2889
_cell_length_c 13.5099
_cell_angle_alpha 90.00
_cell_angle_beta 90.00
_cell_angle_gamma 120.00
_space_group_name_H-M_alt 'R -3 m'
_space_group_IT_number 166
_space_group_name_Hall '-R 3 2"'
loop_
_atom_site_label
_atom_site_type_symbol
_atom_site_fract_x
_atom_site_fract_y
_atom_site_fract_z
Y1 Y 0.0000 0.0000 0.1240
Fe1 Fe 0.0000 0.0000 0.5000
Tc1 Tc 0.0000 0.5000 0.0000


No. 7
# HfRe2Ni2 PBE-GGA optimized geometry
# Energy of formation from the pure elements in eV/atom: 0.07
# Energy in eV/cell: -92.10
# Density in g/cm³: 15.3
data_HfRe2Ni2
_cell_length_a 6.425
_cell_length_b 6.425
_cell_length_c 3.522
_cell_angle_alpha 90.00
_cell_angle_beta 90.00
_cell_angle_gamma 90.00
_space_group_name_H-M_alt 'P 4/m b m'
_space_group_IT_number 127
_space_group_name_Hall '-P 4 2ab'
loop_
_atom_site_label
_atom_site_type_symbol
_atom_site_fract_x
_atom_site_fract_y
_atom_site_fract_z
Hf1 Hf 0.000 0.000 0.000
Re1 Re 0.157 0.343 0.500
Ni1 Ni 0.128 0.628 0.000


No. 8
# Nd2HoCd PBE-GGA optimized geometry
# Energy of formation from the pure elements in eV/atom: -0.13
# Energy in eV/cell: -15.57
# Density in g/cm³: 7.6
data_Nd2HoCd
_cell_length_a 3.709
_cell_length_b 3.709
_cell_length_c 9.030
_cell_angle_alpha 90.00
_cell_angle_beta 90.00
_cell_angle_gamma 90.00
_space_group_name_H-M_alt 'P 4/m m m'
_space_group_IT_number 123
_space_group_name_Hall '-P 4 2'
loop_
_atom_site_label
_atom_site_type_symbol
_atom_site_fract_x
_atom_site_fract_y
_atom_site_fract_z
Nd1 Nd 0.000 0.000 0.228
Ho1 Ho 0.500 0.500 0.500
Cd1 Cd 0.500 0.500 0.000


No. 9
# TlAsIr2 PBE-GGA optimized geometry
# Energy of formation from the pure elements in eV/atom: 0.24
# Energy in eV/cell: -47.53
# Density in g/cm³: 12.5
data_TlAsIr2
_cell_length_a 9.896
_cell_length_b 2.874
_cell_length_c 6.742
_cell_angle_alpha 90.00
_cell_angle_beta 113.05
_cell_angle_gamma 90.00
_space_group_name_H-M_alt 'C 1 m 1'
_space_group_IT_number 8
_space_group_name_Hall 'C -2y'
loop_
_atom_site_label
_atom_site_type_symbol
_atom_site_fract_x
_atom_site_fract_y
_atom_site_fract_z
Tl1 Tl 0.000 0.000 0.000
As1 As 0.161 0.000 0.625
Ir1 Ir 0.238 0.500 0.381
Ir2 Ir 0.455 0.000 0.379


No. 10
# Pm4Te2RhCl PBE-GGA optimized geometry
# E_form (uncorrected) in kJ per mole of atoms: -119.1
# Energy in eV/cell: -44.36
# Density in g/cm³: 7.1
data_Pm4Te2RhCl
_cell_length_a 7.472
_cell_length_b 4.197
_cell_length_c 7.709
_cell_angle_alpha 90.00
_cell_angle_beta 108.85
_cell_angle_gamma 90.00
_space_group_name_H-M_alt 'P 1 2/m 1'
_space_group_IT_number 10
_space_group_name_Hall '-P 2y'
loop_
_atom_site_label
_atom_site_type_symbol
_atom_site_fract_x
_atom_site_fract_y
_atom_site_fract_z
Pm1 Pm 0.215 0.000 0.212
Pm2 Pm 0.248 0.500 0.773
Te1 Te 0.000 0.000 0.500
Te2 Te 0.500 0.500 0.500
Rh1 Rh 0.000 0.500 0.000
Cl1 Cl 0.500 0.000 0.000


No. 11
# ReAgIr2 PBE-GGA optimized geometry
# Energy of formation from the pure elements in eV/atom: 0.29
# Energy in eV/cell: -63.73
# Density in g/cm³: 18.5
data_ReAgIr2
_cell_length_a 9.197
_cell_length_b 2.745
_cell_length_c 4.878
_cell_angle_alpha 90.00
_cell_angle_beta 99.23
_cell_angle_gamma 90.00
_space_group_name_H-M_alt 'C 1 2/m 1'
_space_group_IT_number 12
_space_group_name_Hall '-C 2y'
loop_
_atom_site_label
_atom_site_type_symbol
_atom_site_fract_x
_atom_site_fract_y
_atom_site_fract_z
Re1 Re 0.000 0.000 0.000
Ag1 Ag 0.000 0.500 0.500
Ir1 Ir 0.244 0.500 0.235


No. 12
# MnIn PBE-GGA optimized geometry
# Energy of formation from the pure elements in eV/atom: 0.33
# Energy in eV/cell: -11.25
# Density in g/cm³: 7.6
data_MnIn
_cell_length_a 3.0903
_cell_length_b 3.0903
_cell_length_c 4.4759
_cell_angle_alpha 90.00
_cell_angle_beta 90.00
_cell_angle_gamma 120.00
_space_group_name_H-M_alt 'P -6 m 2'
_space_group_IT_number 187
_space_group_name_Hall 'P -6 2'
loop_
_atom_site_label
_atom_site_type_symbol
_atom_site_fract_x
_atom_site_fract_y
_atom_site_fract_z
Mn1 Mn 0.0000 0.0000 0.0000
In1 In 0.3333 0.6667 0.5000